Record 1
Computed, not measured: crystalline AlCuTc2 at its relaxed geometry at the PBE-GGA level of DFT.

Computed properties:
Calculated total energy in eV/atom: -6.63
ΔE_f in eV/f.u.: 2.1

abc: 5.488 5.488 5.488
angles: 102.38 102.38 124.84
Fractional positions:
Al (0.000, 0.000, 0.000)
Al (0.750, 0.250, 0.500)
Cu (0.250, 0.750, 0.500)
Cu (0.500, 0.500, 0.000)
Tc (0.131, 0.625, 0.006)
Tc (0.375, 0.381, 0.506)
Tc (0.619, 0.125, 0.994)
Tc (0.875, 0.869, 0.494)

---

Record 2
Computed, not measured: crystalline CeTmUO6 at its relaxed geometry at the PBE-GGA level of DFT.

Computed properties:
Calculated total energy in eV/atom: -9.08
Formation energy (no corrections) in meV/atom: -3367

abc: 5.754 5.754 9.631
angles: 90.00 90.00 120.00
Fractional positions:
Ce (0.000, 0.000, 0.000)
Ce (0.000, 0.000, 0.500)
Tm (0.333, 0.667, 0.250)
Tm (0.667, 0.333, 0.750)
U (0.333, 0.667, 0.750)
U (0.667, 0.333, 0.250)
O (0.015, 0.354, 0.635)
O (0.015, 0.661, 0.865)
O (0.339, 0.354, 0.865)
O (0.339, 0.985, 0.635)
O (0.354, 0.015, 0.135)
O (0.354, 0.339, 0.365)
O (0.646, 0.661, 0.635)
O (0.646, 0.985, 0.865)
O (0.661, 0.015, 0.365)
O (0.661, 0.646, 0.135)
O (0.985, 0.339, 0.135)
O (0.985, 0.646, 0.365)